TmHf2WC4: relaxed, GGA-PBE.

Its crystal system is orthorhombic. The calculated volume is 13.889 Å³ per atom. For the density of states at the Fermi level, the calculation gives 0.389 states/eV/atom. The calculation puts the total magnetization at 0.0 Bohr magnetons per cell. As for the uncorrected energy: -9.65 eV per atom.

The structure belongs to space group Cmcm (No. 63); the cell edges are 3.3004, 11.5390 and 11.6706 Å and the angles 90.00°, 90.00° and 90.00°. The inequivalent atoms are Tm at (0.0000, 0.1180, 0.2500), Hf at (0.0000, 0.3692, 0.0340), W at (0.0000, 0.1489, 0.7500), C at (0.0000, 0.0000, 0.0000), C at (0.0000, 0.2573, 0.6190) and C at (0.0000, 0.4549, 0.2500).